Density functional theory data (PBE) for an optimized crystal structure of NaY3Pu2Te6.

The structure in POSCAR format:
```
NaY3Pu2Te6
1.0
9.662 -2.194 0.000
9.662 2.194 0.000
-2.134 0.000 8.631
Na Y Pu Te
1 3 2 6
direct
0.000 0.000 0.000
0.000 0.000 0.500
0.333 0.333 0.170
0.667 0.667 0.830
0.333 0.333 0.667
0.667 0.667 0.333
0.166 0.166 0.584
0.168 0.168 0.078
0.498 0.498 0.253
0.502 0.502 0.747
0.832 0.832 0.922
0.834 0.834 0.416
```

**Energy relative to the elements, uncorrected**: -1.25 eV per atom
**DOS at the Fermi energy**: 26.56 states/eV per cell
**SG**: C2/m (12)



Density functional theory data (PBE) for an optimized crystal structure of Na2PuZrTe4.

The structure in POSCAR format:
```
Na2PuZrTe4
1.0
7.481 0.000 0.000
0.000 4.302 0.000
-2.465 0.000 7.644
Na Pu Zr Te
2 1 1 4
direct
0.000 0.000 0.000
0.500 0.500 0.000
0.000 0.500 0.500
0.500 0.000 0.500
0.259 0.000 0.734
0.272 0.500 0.274
0.728 0.500 0.726
0.741 0.000 0.266
```

**Energy relative to the elements, uncorrected**: -0.97 eV per atom
**DOS at the Fermi energy**: 13.80 states/eV per cell
**SG**: P2/m (10)



Density functional theory data (PBE) for an optimized crystal structure of Na3Pu3ZrTe8.

The structure in POSCAR format:
```
Na3Pu3ZrTe8
1.0
4.401 2.541 7.599
-4.401 2.541 7.599
0.000 -5.082 7.599
Na Pu Zr Te
3 3 1 8
direct
0.000 0.500 0.500
0.500 0.000 0.500
0.500 0.500 0.000
0.000 0.000 0.500
0.000 0.500 0.000
0.500 0.000 0.000
0.500 0.500 0.500
0.245 0.245 0.245
0.257 0.734 0.734
0.266 0.266 0.743
0.266 0.743 0.266
0.734 0.257 0.734
0.734 0.734 0.257
0.743 0.266 0.266
0.755 0.755 0.755
```

**Energy relative to the elements, uncorrected**: -0.99 eV per atom
**DOS at the Fermi energy**: 38.22 states/eV per cell
**SG**: R-3m (166)



Density functional theory data (PBE) for an optimized crystal structure of NaPuTl2.

The structure in POSCAR format:
```
NaPuTl2
1.0
3.487 0.000 0.000
0.000 3.487 0.000
0.000 0.000 8.975
Na Pu Tl
1 1 2
direct
0.000 0.000 0.000
0.000 0.000 0.500
0.500 0.500 0.246
0.500 0.500 0.754
```

**DFT formation energy**: -0.047 eV/atom
**DOS at the Fermi energy**: 6.74 states/eV per cell
**SG**: P4/mmm (123)